DFT (PBE) results for crystalline Pm2TiGa3Rh4 at its relaxed geometry.

The structure in POSCAR format:
```
Pm2TiGa3Rh4
1.0
4.200 0.000 0.000
0.000 4.200 0.000
0.000 0.000 10.614
Pm Ti Ga Rh
2 1 3 4
Direct
0.000 0.500 0.234
0.500 0.000 0.766
0.000 0.000 0.500
0.000 0.500 0.874
0.500 0.000 0.126
0.500 0.500 0.500
0.000 0.000 0.000
0.000 0.500 0.637
0.500 0.000 0.363
0.500 0.500 0.000
```

Summary:
N(E_F)	7.1	states/eV/cell
size of the total moment	0.00	μB per formula unit
energy of formation	-0.784	eV/atom

DFT (PBE) results for crystalline CdAg2Sb at its relaxed geometry.

The structure in POSCAR format:
```
CdAg2Sb
1.0
-2.186 2.186 9.638
2.186 -2.186 9.638
2.186 2.186 -9.638
Cd Ag Sb
2 4 2
Direct
0.000 0.000 0.000
0.750 0.250 0.500
0.127 0.625 0.002
0.375 0.377 0.502
0.623 0.125 0.998
0.875 0.873 0.498
0.250 0.750 0.500
0.500 0.500 0.000
```

Summary:
N(E_F)	2.8	states/eV/cell
size of the total moment	0.00	μB per formula unit
ΔE_f (raw)	0.116	eV/atom
polymorph energy (0 for the lowest one)	71	meV per atom

DFT (PBE) results for crystalline NaSnRu2Br at its relaxed geometry.

The structure in POSCAR format:
```
NaSnRu2Br
1.0
4.646 0.000 0.000
0.000 4.646 0.000
0.000 0.000 5.572
Na Sn Ru Br
1 1 2 1
Direct
0.000 0.000 0.000
0.500 0.500 0.000
0.000 0.500 0.500
0.500 0.000 0.500
0.500 0.500 0.500
```

Summary:
N(E_F)	4.1	states/eV/cell
size of the total moment	0.00	μB per formula unit
ΔE_f (raw)	1.154	eV/atom

DFT (PBE) results for crystalline PaInGeO at its relaxed geometry.

The structure in POSCAR format:
```
PaInGeO
1.0
4.025 0.000 0.000
0.000 4.025 0.000
0.000 0.000 9.615
Pa In Ge O
2 2 2 2
Direct
0.250 0.250 0.132
0.750 0.750 0.868
0.250 0.750 0.500
0.750 0.250 0.500
0.250 0.250 0.739
0.750 0.750 0.261
0.250 0.750 0.000
0.750 0.250 0.000
```

Summary:
N(E_F)	6.6	states/eV/cell
size of the total moment	0.00	μB per formula unit
ΔE_f (raw)	-1.272	eV/atom

DFT (PBE) results for crystalline Pr2GeTe4 at its relaxed geometry.

The structure in POSCAR format:
```
Pr2GeTe4
1.0
-3.605 3.605 6.132
3.605 -3.605 6.132
3.605 3.605 -6.132
Pr Ge Te
2 1 4
Direct
0.250 0.750 0.500
0.750 0.250 0.500
0.000 0.000 0.000
0.141 0.641 0.000
0.359 0.359 0.501
0.641 0.141 0.000
0.859 0.859 0.499
```

Summary:
size of the total moment	0.00	μB per formula unit
ΔE_f (raw)	-0.749	eV/atom

DFT (PBE) results for crystalline ThPaTcPb at its relaxed geometry.

The structure in POSCAR format:
```
ThPaTcPb
1.0
3.360 0.000 0.000
0.000 3.360 0.000
0.000 0.000 8.860
Th Pa Tc Pb
1 1 1 1
Direct
0.000 0.000 0.000
0.000 0.000 0.588
0.500 0.500 0.776
0.500 0.500 0.298
```

Summary:
N(E_F)	3.4	states/eV/cell
size of the total moment	0.00	μB per formula unit
energy of formation	-0.207	eV/atom

DFT (PBE) results for crystalline MgScZnSn at its relaxed geometry.

The structure in POSCAR format:
```
MgScZnSn
1.0
4.179 0.000 0.000
0.000 4.319 0.000
0.000 0.000 4.471
Mg Sc Zn Sn
1 1 1 1
Direct
0.000 0.000 0.000
0.000 0.500 0.500
0.500 0.500 0.000
0.500 0.000 0.500
```

Summary:
N(E_F)	1.5	states/eV/cell
size of the total moment	0.00	μB per formula unit
energy of formation	-0.389	eV/atom
polymorph energy (0 for the lowest one)	0	meV per atom

DFT (PBE) results for crystalline NpTlBi2 at its relaxed geometry.

The structure in POSCAR format:
```
NpTlBi2
1.0
4.202 0.000 0.000
0.000 4.202 0.000
0.000 0.000 6.800
Np Tl Bi
1 1 2
Direct
0.000 0.000 0.000
0.000 0.000 0.500
0.500 0.500 0.232
0.500 0.500 0.768
```

Summary:
N(E_F)	11.6	states/eV/cell
size of the total moment	4.34	μB per formula unit
energy of formation	0.031	eV/atom
polymorph energy (0 for the lowest one)	0	meV per atom